# Pm2Ga3Cu12Au PBE-GGA relaxed
# N(E_F) = 19.17 states/eV per cell
# magnetic moment = 0.000 μB/atom
# E = -3.707 eV per atom
data_Pm2Ga3Cu12Au
_chemical_formula_sum 'Pm6 Ga9 Cu36 Au3'
_cell_length_a 8.4650
_cell_length_b 8.4650
_cell_length_c 16.0183
_cell_angle_alpha 90.00
_cell_angle_beta 90.00
_cell_angle_gamma 120.00
_symmetry_space_group_name_H-M 'R -3 m'
_symmetry_Int_Tables_number 166
_symmetry_space_group_name_Hall '-R 3 2"'
loop_
_atom_site_label
_atom_site_type_symbol
_atom_site_fract_x
_atom_site_fract_y
_atom_site_fract_z
Pm1 Pm 0.0000 0.0000 0.1007
Ga1 Ga 0.0000 0.5000 0.0000
Cu1 Cu 0.0037 0.5019 0.8475
Cu2 Cu 0.0686 0.5343 0.4197
Au1 Au 0.0000 0.0000 0.5000